Compound: SrCa3Pt
Source: Alexandria via LeMat-Bulk
Functional: PBE
Structure: relaxed Values from VASP.

Output
ΔE_f = -0.450 eV/atom
M_tot = 0.00 μB per formula unit
Mass density = 3.8 Mg/m³
Total energy = -3.195 eV/atom
ΔE to the lowest computed polymorph = 33 meV per atom

```
&SYSTEM
  ibrav = 0, nat = 10, ntyp = 3
/
ATOMIC_SPECIES
Ca 40.08 Ca.upf
Pt 195.08 Pt.upf
Sr 87.62 Sr.upf
ATOMIC_POSITIONS angstrom
Ca -2.553 -3.960 3.016
Ca -5.258 -1.318 3.739
Ca -5.562 -11.212 5.104
Ca -1.450 -0.444 3.285
Ca -6.406 -4.802 3.458
Ca -4.637 -5.841 6.653
Pt 0.594 -2.014 1.877
Pt -4.160 -8.750 6.051
Sr -1.216 -6.880 4.952
Sr 0.886 -2.900 4.928
CELL_PARAMETERS angstrom
-0.109 2.240 3.516
-8.529 -5.027 0.486
2.996 -6.920 4.518
```